Compound: Na3Pm2RuO6
Source: Alexandria via LeMat-Bulk
Functional: GGA-PBE
Structure: relaxed

a = 5.7971 Å, b = 5.7971 Å, c = 5.9544 Å
α = 99.16°, β = 99.16°, γ = 119.09°
With the nearest neighbours (Å) after each atom.
Atoms (fractional coordinates):
Na 0.0000 0.0000 0.0000  6 O 2.44-2.67
Na 0.3471 0.6529 0.0000  4 O 2.40-2.45
Na 0.6529 0.3471 0.0000  4 O 2.40-2.45
Pm 0.1710 0.8290 0.5000  6 O 2.35-2.38
Pm 0.8290 0.1710 0.5000  6 O 2.35-2.38
Ru 0.5000 0.5000 0.5000  6 O 2.13-2.20
O 0.1142 0.4219 0.2773  1 Ru 2.20, 2 Pm 2.35-2.36, 2 Na 2.44-2.45
O 0.2644 0.2644 0.7081  1 Ru 2.13, 2 Pm 2.38
O 0.4219 0.1142 0.2773  1 Ru 2.20, 2 Pm 2.35-2.36, 2 Na 2.44-2.45
O 0.5781 0.8858 0.7227  1 Ru 2.20, 2 Pm 2.35-2.36, 2 Na 2.44-2.45
O 0.7356 0.7356 0.2919  1 Ru 2.13, 2 Pm 2.38
O 0.8858 0.5781 0.7227  1 Ru 2.20, 2 Pm 2.35-2.36, 2 Na 2.44-2.45

Calculated values
SG: No. 12
VASP energy (eV per atom): -6.436
Formation energy from raw total energies (eV/atom): -2.062

=====

Compound: BeFeW2S
Source: Alexandria via LeMat-Bulk
Functional: GGA-PBE
Structure: relaxed

a = 4.4178 Å, b = 4.4178 Å, c = 3.4817 Å
α = 90.00°, β = 90.00°, γ = 90.00°
With the nearest neighbours (Å) after each atom.
Atoms (fractional coordinates):
Be 0.0000 0.0000 0.0000  2 S 1.74
Fe 0.5000 0.5000 0.5000  8 W 2.81, 4 S 3.12
W 0.0000 0.5000 0.0000  2 Be 2.21
W 0.5000 0.0000 0.0000  2 Be 2.21
S 0.0000 0.0000 0.5000  2 Be 1.74

Calculated values
SG: No. 123
VASP energy (eV per atom): -7.092
Formation energy from raw total energies (eV/atom): 1.353

=====

Compound: ZnCdP2
Source: Alexandria via LeMat-Bulk
Functional: GGA-PBE
Structure: relaxed

a = 7.2879 Å, b = 3.2355 Å, c = 6.9772 Å
α = 90.00°, β = 107.32°, γ = 90.00°
With the nearest neighbours (Å) after each atom.
Atoms (fractional coordinates):
Zn 0.0000 0.0000 0.0000  3 P 2.42-2.68
Zn 0.5000 0.5000 0.0000  3 P 2.42-2.68
Cd 0.1786 0.0000 0.7028  1 P 2.65, 1 Zn 2.76
Cd 0.6786 0.5000 0.7028  1 P 2.65, 1 Zn 2.76
P 0.2844 0.5000 0.2057  2 P 2.20, 1 Zn 2.42
P 0.3650 0.0000 0.4298  2 P 2.20
P 0.7844 0.0000 0.2057  2 P 2.20, 1 Zn 2.42
P 0.8650 0.5000 0.4298  2 P 2.20

Calculated values
ΔE_f (eV/atom): 0.079
SG: No. 8
VASP energy (eV per atom): -3.173

=====

Compound: PuSnI6
Source: Alexandria via LeMat-Bulk
Functional: GGA-PBE
Structure: relaxed

a = 7.6630 Å, b = 13.7037 Å, c = 7.6473 Å
α = 90.00°, β = 107.42°, γ = 90.00°
With the nearest neighbours (Å) after each atom.
Atoms (fractional coordinates):
Pu 0.0000 0.0000 0.0000  6 I 3.00-3.03
Pu 0.5000 0.5000 0.0000  6 I 3.00-3.03
Sn 0.0000 0.5000 0.5000  6 I 3.15-3.18
Sn 0.5000 0.0000 0.5000  6 I 3.15-3.18
I 0.2372 0.1532 0.2438  1 Pu 3.03, 1 Sn 3.15
I 0.2372 0.8468 0.2438  1 Pu 3.03, 1 Sn 3.15
I 0.2483 0.0000 0.7629  1 Pu 3.00, 1 Sn 3.18
I 0.2517 0.5000 0.2371  1 Pu 3.00, 1 Sn 3.18
I 0.2628 0.3468 0.7562  1 Pu 3.03, 1 Sn 3.15
I 0.2628 0.6532 0.7562  1 Pu 3.03, 1 Sn 3.15
I 0.7372 0.3468 0.2438  1 Pu 3.03, 1 Sn 3.15
I 0.7372 0.6532 0.2438  1 Pu 3.03, 1 Sn 3.15
I 0.7483 0.5000 0.7629  1 Pu 3.00, 1 Sn 3.18
I 0.7517 0.0000 0.2371  1 Pu 3.00, 1 Sn 3.18
I 0.7628 0.1532 0.7562  1 Pu 3.03, 1 Sn 3.15
I 0.7628 0.8468 0.7562  1 Pu 3.03, 1 Sn 3.15

Calculated values
SG: No. 12
VASP energy (eV per atom): -4.157
Formation energy from raw total energies (eV/atom): -0.703

=====

Compound: In2RuPt
Source: Alexandria via LeMat-Bulk
Functional: GGA-PBE
Structure: relaxed

a = 3.1182 Å, b = 3.1182 Å, c = 25.8039 Å
α = 90.00°, β = 90.00°, γ = 120.00°
With the nearest neighbours (Å) after each atom.
Atoms (fractional coordinates):
In 0.0000 0.0000 0.2482  3 Ru 2.77, 3 Pt 2.84
In 0.0000 0.0000 0.7518  3 Ru 2.77, 3 Pt 2.84
In 0.3333 0.6667 0.4185  3 Ru 2.77, 3 Pt 2.84
In 0.3333 0.6667 0.9148  3 Ru 2.77, 3 Pt 2.84
In 0.6667 0.3333 0.0852  3 Ru 2.77, 3 Pt 2.84
In 0.6667 0.3333 0.5815  3 Ru 2.77, 3 Pt 2.84
Ru 0.0000 0.0000 0.5000  6 In 2.77
Ru 0.3333 0.6667 0.1667  6 In 2.77
Ru 0.6667 0.3333 0.8333  6 In 2.77
Pt 0.0000 0.0000 0.0000  6 In 2.84, 6 Pt 3.12
Pt 0.3333 0.6667 0.6667  6 In 2.84, 6 Pt 3.12
Pt 0.6667 0.3333 0.3333  6 In 2.84, 6 Pt 3.12

Calculated values
ΔE_f (eV/atom): 0.005
SG: No. 166
VASP energy (eV per atom): -5.194

=====

Compound: Pr14ErPb
Source: Alexandria via LeMat-Bulk
Functional: GGA-PBE
Structure: relaxed

a = 7.3193 Å, b = 7.3193 Å, c = 10.4164 Å
α = 90.00°, β = 90.00°, γ = 90.00°
With the nearest neighbours (Å) after each atom.
Atoms (fractional coordinates):
Pr 0.0000 0.0000 0.0000  12 Pr 3.66-3.70
Pr 0.0000 0.5000 0.0000  12 Pr 3.66-3.71
Pr 0.0000 0.5000 0.5000  8 Pr 3.63, 2 Pb 3.66, 2 Er 3.66
Pr 0.2483 0.2483 0.2555  1 Pb 3.62, 10 Pr 3.63-3.72, 1 Er 3.64
Pr 0.2483 0.2483 0.7445  1 Pb 3.62, 10 Pr 3.63-3.72, 1 Er 3.64
Pr 0.2483 0.7517 0.2555  1 Pb 3.62, 10 Pr 3.63-3.72, 1 Er 3.64
Pr 0.2483 0.7517 0.7445  1 Pb 3.62, 10 Pr 3.63-3.72, 1 Er 3.64
Pr 0.5000 0.0000 0.0000  12 Pr 3.66-3.71
Pr 0.5000 0.0000 0.5000  8 Pr 3.63, 2 Pb 3.66, 2 Er 3.66
Pr 0.5000 0.5000 0.0000  12 Pr 3.66-3.72
Pr 0.7517 0.2483 0.2555  1 Pb 3.62, 10 Pr 3.63-3.72, 1 Er 3.64
Pr 0.7517 0.2483 0.7445  1 Pb 3.62, 10 Pr 3.63-3.72, 1 Er 3.64
Pr 0.7517 0.7517 0.2555  1 Pb 3.62, 10 Pr 3.63-3.72, 1 Er 3.64
Pr 0.7517 0.7517 0.7445  1 Pb 3.62, 10 Pr 3.63-3.72, 1 Er 3.64
Er 0.5000 0.5000 0.5000  12 Pr 3.64-3.66
Pb 0.0000 0.0000 0.5000  12 Pr 3.62-3.66

Calculated values
ΔE_f (eV/atom): -0.057
SG: No. 123
VASP energy (eV per atom): -4.756

=====

Compound: MgSbS2
Source: Alexandria via LeMat-Bulk
Functional: GGA-PBE
Structure: relaxed

a = 6.7796 Å, b = 6.7796 Å, c = 6.7796 Å
α = 90.00°, β = 90.00°, γ = 90.00°
With the nearest neighbours (Å) after each atom.
Atoms (fractional coordinates):
Mg 0.0000 0.0000 0.0000  8 S 2.94
Mg 0.0000 0.5000 0.5000  8 S 2.94
Mg 0.5000 0.0000 0.5000  8 S 2.94
Mg 0.5000 0.5000 0.0000  8 S 2.94
Sb 0.0000 0.0000 0.5000  8 S 2.94
Sb 0.0000 0.5000 0.0000  8 S 2.94
Sb 0.5000 0.0000 0.0000  8 S 2.94
Sb 0.5000 0.5000 0.5000  8 S 2.94
S 0.2500 0.2500 0.2500  4 Sb 2.94, 4 Mg 2.94
S 0.2500 0.2500 0.7500  4 Mg 2.94, 4 Sb 2.94
S 0.2500 0.7500 0.2500  4 Sb 2.94, 4 Mg 2.94
S 0.2500 0.7500 0.7500  4 Sb 2.94, 4 Mg 2.94
S 0.7500 0.2500 0.2500  4 Sb 2.94, 4 Mg 2.94
S 0.7500 0.2500 0.7500  4 Sb 2.94, 4 Mg 2.94
S 0.7500 0.7500 0.2500  4 Sb 2.94, 4 Mg 2.94
S 0.7500 0.7500 0.7500  4 Sb 2.94, 4 Mg 2.94

Calculated values
SG: No. 225
VASP energy (eV per atom): -3.747
Formation energy from raw total energies (eV/atom): -0.254

=====

Compound: Na3Th3InTe8
Source: Alexandria via LeMat-Bulk
Functional: GGA-PBE
Structure: relaxed

a = 9.0735 Å, b = 9.0735 Å, c = 9.0735 Å
α = 61.21°, β = 61.21°, γ = 61.21°
With the nearest neighbours (Å) after each atom.
Atoms (fractional coordinates):
Na 0.0000 0.5000 0.5000  6 Te 3.25-3.37
Na 0.5000 0.0000 0.5000  6 Te 3.25-3.37
Na 0.5000 0.5000 0.0000  6 Te 3.25-3.37
Th 0.0000 0.0000 0.5000  6 Te 3.11-3.22
Th 0.0000 0.5000 0.0000  6 Te 3.11-3.22
Th 0.5000 0.0000 0.0000  6 Te 3.11-3.22
In 0.5000 0.5000 0.5000  6 Te 3.29
Te 0.2264 0.7534 0.7534  2 Th 3.11, 1 In 3.29, 2 Na 3.37
Te 0.2466 0.2466 0.7736  2 Th 3.11, 1 In 3.29, 2 Na 3.37
Te 0.2466 0.7736 0.2466  2 Th 3.11, 1 In 3.29, 2 Na 3.37
Te 0.2487 0.2487 0.2487  3 Th 3.22, 3 Na 3.25
Te 0.7513 0.7513 0.7513  3 Th 3.22, 3 Na 3.25
Te 0.7534 0.2264 0.7534  2 Th 3.11, 1 In 3.29, 2 Na 3.37
Te 0.7534 0.7534 0.2264  2 Th 3.11, 1 In 3.29, 2 Na 3.37
Te 0.7736 0.2466 0.2466  2 Th 3.11, 1 In 3.29, 2 Na 3.37

Calculated values
SG: No. 166
VASP energy (eV per atom): -4.615
Formation energy from raw total energies (eV/atom): -1.009

=====

Compound: Tb2PmDy9
Source: Alexandria via LeMat-Bulk
Functional: GGA-PBE
Structure: relaxed

a = 5.0250 Å, b = 5.0250 Å, c = 15.0799 Å
α = 90.00°, β = 90.00°, γ = 90.00°
With the nearest neighbours (Å) after each atom.
Atoms (fractional coordinates):
Tb 0.0000 0.0000 0.1660  12 Dy 3.55
Tb 0.0000 0.0000 0.8340  12 Dy 3.55
Pm 0.0000 0.0000 0.5000  12 Dy 3.55-3.57
Dy 0.0000 0.5000 0.0000  8 Dy 3.54-3.55, 4 Tb 3.55
Dy 0.0000 0.5000 0.3319  2 Tb 3.55, 8 Dy 3.55-3.57, 2 Pm 3.57
Dy 0.0000 0.5000 0.6681  2 Tb 3.55, 8 Dy 3.55-3.57, 2 Pm 3.57
Dy 0.5000 0.0000 0.0000  8 Dy 3.54-3.55, 4 Tb 3.55
Dy 0.5000 0.0000 0.3319  2 Tb 3.55, 8 Dy 3.55-3.57, 2 Pm 3.57
Dy 0.5000 0.0000 0.6681  2 Tb 3.55, 8 Dy 3.55-3.57, 2 Pm 3.57
Dy 0.5000 0.5000 0.1657  8 Dy 3.54-3.55, 4 Tb 3.55
Dy 0.5000 0.5000 0.5000  4 Pm 3.55, 8 Dy 3.57
Dy 0.5000 0.5000 0.8343  8 Dy 3.54-3.55, 4 Tb 3.55

Calculated values
ΔE_f (eV/atom): 0.020
SG: No. 123
VASP energy (eV per atom): -4.599

=====

Compound: Ca2HPb
Source: Alexandria via LeMat-Bulk
Functional: GGA-PBE
Structure: relaxed

a = 5.5559 Å, b = 17.7063 Å, c = 3.9141 Å
α = 90.00°, β = 90.00°, γ = 90.00°
With the nearest neighbours (Å) after each atom.
Atoms (fractional coordinates):
Ca 0.0000 0.0000 0.0000  4 H 2.23
Ca 0.0000 0.1820 0.5000  1 H 2.15
Ca 0.0000 0.5000 0.5000  4 H 2.98, 4 Pb 3.27
Ca 0.0000 0.8180 0.5000  1 H 2.15
Ca 0.5000 0.0000 0.5000  4 H 2.98, 4 Pb 3.27
Ca 0.5000 0.3180 0.5000  1 H 2.15
Ca 0.5000 0.5000 0.0000  4 H 2.23
Ca 0.5000 0.6820 0.5000  1 H 2.15
H 0.0000 0.0609 0.5000  3 Ca 2.15-2.23, 1 H 2.16
H 0.0000 0.9391 0.5000  3 Ca 2.15-2.23, 1 H 2.16
H 0.5000 0.4391 0.5000  3 Ca 2.15-2.23, 1 H 2.16
H 0.5000 0.5609 0.5000  3 Ca 2.15-2.23, 1 H 2.16
Pb 0.0000 0.3517 0.0000  8 Ca 3.27-3.59
Pb 0.0000 0.6483 0.0000  8 Ca 3.27-3.59
Pb 0.5000 0.1483 0.0000  8 Ca 3.27-3.59
Pb 0.5000 0.8517 0.0000  8 Ca 3.27-3.59

Calculated values
SG: No. 65
VASP energy (eV per atom): -3.219

=====

Compound: Sm3SnS2
Source: Alexandria via LeMat-Bulk
Functional: GGA-PBE
Structure: relaxed

a = 4.1751 Å, b = 5.9426 Å, c = 12.5051 Å
α = 90.00°, β = 90.00°, γ = 90.00°
With the nearest neighbours (Å) after each atom.
Atoms (fractional coordinates):
Sm 0.0000 0.0000 0.0000  4 S 2.92, 2 Sn 2.97
Sm 0.0000 0.0000 0.3202  4 S 2.87-2.98, 2 Sn 3.07
Sm 0.0000 0.0000 0.6798  4 S 2.87-2.98, 2 Sn 3.07
Sm 0.5000 0.5000 0.1798  4 S 2.87-2.98, 2 Sn 3.07
Sm 0.5000 0.5000 0.5000  4 S 2.92, 2 Sn 2.97
Sm 0.5000 0.5000 0.8202  4 S 2.87-2.98, 2 Sn 3.07
Sn 0.0000 0.5000 0.0000  6 Sm 2.97-3.07
Sn 0.5000 0.0000 0.5000  6 Sm 2.97-3.07
S 0.0000 0.5000 0.3368  6 Sm 2.87-2.98
S 0.0000 0.5000 0.6632  6 Sm 2.87-2.98
S 0.5000 0.0000 0.1632  6 Sm 2.87-2.98
S 0.5000 0.0000 0.8368  6 Sm 2.87-2.98

Calculated values
SG: No. 71
VASP energy (eV per atom): -5.958
Formation energy from raw total energies (eV/atom): -1.555

=====

Compound: Dy6HoEr3
Source: Alexandria via LeMat-Bulk
Functional: GGA-PBE
Structure: relaxed

a = 11.4321 Å, b = 11.4321 Å, c = 6.3116 Å
α = 90.00°, β = 90.00°, γ = 130.55°
With the nearest neighbours (Å) after each atom.
Atoms (fractional coordinates):
Dy 0.0154 0.9846 0.5000  4 Dy 3.22-3.55, 1 Ho 3.26, 4 Er 3.50-3.52
Dy 0.1046 0.5428 0.9930  2 Er 3.23-3.37, 3 Dy 3.37-3.54, 2 Ho 3.53-3.60
Dy 0.2585 0.3785 0.7511  3 Er 3.32-3.50, 4 Dy 3.47-3.64, 1 Ho 3.71
Dy 0.3009 0.6991 0.5330  1 Er 3.13, 1 Ho 3.24, 2 Dy 3.38
Dy 0.3785 0.2585 0.2511  3 Er 3.32-3.50, 4 Dy 3.47-3.64, 1 Ho 3.71
Dy 0.4572 0.8954 0.9930  2 Er 3.23-3.37, 3 Dy 3.37-3.54, 2 Ho 3.53-3.60
Dy 0.5428 0.1046 0.4930  2 Er 3.23-3.37, 3 Dy 3.37-3.54, 2 Ho 3.53-3.60
Dy 0.6215 0.7415 0.7511  3 Er 3.32-3.50, 4 Dy 3.47-3.64, 1 Ho 3.71
Dy 0.6991 0.3009 0.0330  1 Er 3.13, 1 Ho 3.24, 2 Dy 3.38
Dy 0.7415 0.6215 0.2511  3 Er 3.32-3.50, 4 Dy 3.47-3.64, 1 Ho 3.71
Dy 0.8954 0.4572 0.4930  2 Er 3.23-3.37, 3 Dy 3.37-3.54, 2 Ho 3.53-3.60
Dy 0.9846 0.0154 0.0000  4 Dy 3.22-3.55, 1 Ho 3.26, 4 Er 3.50-3.52
Ho 0.1609 0.8391 0.3048  6 Dy 3.24-3.60, 2 Er 3.47
Ho 0.8391 0.1609 0.8048  6 Dy 3.24-3.60, 2 Er 3.47
Er 0.0423 0.2951 0.3307  2 Er 3.23-3.37, 5 Dy 3.23-3.52, 1 Ho 3.47
Er 0.2951 0.0423 0.8307  2 Er 3.23-3.37, 5 Dy 3.23-3.52, 1 Ho 3.47
Er 0.4193 0.5807 0.2270  5 Dy 3.13-3.50, 2 Er 3.37
Er 0.5807 0.4193 0.7270  5 Dy 3.13-3.50, 2 Er 3.37
Er 0.7049 0.9577 0.3307  2 Er 3.23-3.37, 5 Dy 3.23-3.52, 1 Ho 3.47
Er 0.9577 0.7049 0.8307  2 Er 3.23-3.37, 5 Dy 3.23-3.52, 1 Ho 3.47

Calculated values
ΔE_f (eV/atom): 0.125
SG: No. 36
VASP energy (eV per atom): -4.463

=====

We obtain volume values of 166, 68, 157, 766, 217, 558, 312, 543, 381, 385, 310, 627 Å³ per cell for the records listed above, in that order.